Density functional theory data (GGA-PBEsol) for crystalline Ba2Zn at its relaxed geometry.

Cell: 4.0721 4.0721 14.6562 Å, 90.00 90.00 90.00°
Space group I4/mmm (No. 139)
Inequivalent atoms, fractional coordinates:
Ba (0.0000, 0.0000, 0.1278) x4
Zn (0.0000, 0.0000, 0.5000) x2

Calculated values
Uncorrected energy ... -2.071 eV per atom